# 1
AlSbI2F | Alexandria | PBE | relaxed; SG = P4/mmm, No. 123
1.0
5.4137 0.0000 0.0000
0.0000 5.4137 0.0000
0.0000 0.0000 5.3820
I F Al Sb
2 1 1 1
Direct
0.0000 0.5000 0.0000
0.5000 0.0000 0.0000
0.5000 0.5000 0.5000
0.0000 0.0000 0.0000
0.0000 0.0000 0.5000


# 2
AlSbI2F | Alexandria | PBE | relaxed; SG = P4/mmm, No. 123
1.0
6.0830 0.0000 0.0000
0.0000 6.0830 0.0000
0.0000 0.0000 4.2316
I Sb Al F
2 1 1 1
Direct
0.0000 0.5000 0.0000
0.5000 0.0000 0.0000
0.0000 0.0000 0.5000
0.5000 0.5000 0.5000
0.0000 0.0000 0.0000


# 3
Sr2AlIF | Alexandria | PBE | relaxed; SG = P4/mmm, No. 123
1.0
6.0429 0.0000 0.0000
0.0000 4.0428 0.0000
0.0000 0.0000 6.0429
I Al Sr F
1 1 2 1
Direct
0.5000 0.5000 0.5000
0.0000 0.5000 0.0000
0.5000 0.0000 0.0000
0.0000 0.0000 0.5000
0.0000 0.0000 0.0000


# 4
AlTeI2F | Alexandria | PBE | relaxed; SG = P4/mmm, No. 123
1.0
6.1040 0.0000 0.0000
0.0000 6.1040 0.0000
0.0000 0.0000 4.2370
F I Te Al
1 2 1 1
Direct
0.0000 0.0000 0.0000
0.0000 0.5000 0.0000
0.5000 0.0000 0.0000
0.0000 0.0000 0.5000
0.5000 0.5000 0.5000


The records above give, respectively, energy values of -12.890; -13.918; -16.149; -12.226 eV for the cell shown.
The records above give, respectively, density of states at the Fermi level values of 0.69; 0.37; 1.30; 0.78 states/eV/atom.
The records above give, respectively, uncorrected formation energy values of -0.01; -0.22; -1.12; -0.07 eV/atom.